(1)
The following is a PBE-GGA calculation of a geometry-optimized TlAsBr2O structure, from Alexandria via LeMat-Bulk.

Results
- Formation energy from raw total energies: 5.17 eV per formula unit
- Polymorph energy (0 for the lowest one): 1188.4 meV per atom
- Energy: -2.03 eV/atom
- DOS at the Fermi energy: 2.507 states/eV/atom
- Magnetic moment: 0.0 μB/cell

Cell lengths 5.4520, 5.4520, 5.6923 Å; angles 90.00, 90.00, 90.00 degrees
Element x y z (fractional)
O1 0.5000 0.5000 0.5000
Tl1 0.0000 0.0000 0.0000
As1 0.0000 0.0000 0.5000
Br1 0.0000 0.5000 0.0000
Br2 0.5000 0.0000 0.0000

(2)
The following is a PBE-GGA calculation of a geometry-optimized Ho2Be3SiPt4 structure, from Alexandria via LeMat-Bulk.

Results
- Formation energy from raw total energies: -9.84 eV per formula unit
- Energy: -5.98 eV/atom
- DOS at the Fermi energy: 0.521 states/eV/atom
- Magnetic moment: 0.0 μB/cell

Cell lengths 4.0678, 4.0678, 9.5033 Å; angles 90.00, 90.00, 90.00 degrees
Element x y z (fractional)
Ho1 0.5000 0.0000 0.2484
Ho2 0.0000 0.5000 0.7516
Be1 0.0000 0.0000 0.5000
Be2 0.5000 0.0000 0.8776
Be3 0.0000 0.5000 0.1224
Si1 0.5000 0.5000 0.5000
Pt1 0.5000 0.5000 0.0000
Pt2 0.0000 0.0000 0.0000
Pt3 0.5000 0.0000 0.6345
Pt4 0.0000 0.5000 0.3655

(3)
The following is a PBE-GGA calculation of a geometry-optimized TlGa2SnCl8 structure, from Alexandria via LeMat-Bulk.

Results
- Formation energy from raw total energies: -11.66 eV per formula unit
- Energy: -3.24 eV/atom
- DOS at the Fermi energy: 0.231 states/eV/atom
- Magnetic moment: 0.0 μB/cell

Cell lengths 7.6043, 7.6043, 8.7340 Å; angles 90.00, 90.00, 120.00 degrees
Element x y z (fractional)
Tl1 0.0000 0.0000 0.0000
Ga1 0.6667 0.3333 0.2000
Ga2 0.3333 0.6667 0.8000
Sn1 0.0000 0.0000 0.5000
Cl1 0.3333 0.6667 0.0513
Cl2 0.3398 0.1719 0.2915
Cl3 0.8281 0.1679 0.2915
Cl4 0.6667 0.3333 0.9487
Cl5 0.1719 0.8321 0.7085
Cl6 0.6602 0.8281 0.7085
Cl7 0.1679 0.3398 0.7085
Cl8 0.8321 0.6602 0.2915

(4)
The following is a PBE-GGA calculation of a geometry-optimized Ba2P7Cl structure, from Alexandria via LeMat-Bulk.

Results
- Formation energy from raw total energies: -8.14 eV per formula unit
- Energy: -5.17 eV/atom
- DOS at the Fermi energy: 0.000 states/eV/atom
- Magnetic moment: 0.0 μB/cell

Cell lengths 6.9239, 6.4374, 11.8917 Å; angles 84.93, 90.00, 90.00 degrees
Element x y z (fractional)
Ba1 0.7500 0.7682 0.0462
Ba2 0.2500 0.2318 0.9538
Ba3 0.7500 0.5698 0.6529
Ba4 0.2500 0.4302 0.3471
Cl1 0.7500 0.3711 0.9090
Cl2 0.2500 0.6289 0.0910
P1 0.7500 0.9902 0.4471
P2 0.2500 0.0098 0.5529
P3 0.7500 0.3207 0.2211
P4 0.2500 0.6793 0.7789
P5 0.7500 0.3240 0.4052
P6 0.2500 0.6760 0.5948
P7 0.9942 0.1168 0.1934
P8 0.4942 0.8832 0.8066
P9 0.0058 0.8832 0.8066
P10 0.5058 0.1168 0.1934
P11 0.9201 0.8553 0.3105
P12 0.4201 0.1447 0.6895
P13 0.0799 0.1447 0.6895
P14 0.5799 0.8553 0.3105

(5)
The following is a PBE-GGA calculation of a geometry-optimized NaTaZn structure, from Alexandria via LeMat-Bulk.

Results
- Polymorph energy (0 for the lowest one): 1773.2 meV per atom
- Energy: -2.90 eV/atom
- DOS at the Fermi energy: 1.053 states/eV/atom
- Magnetic moment: 4.4 μB/cell

Cell lengths 4.2844, 4.2844, 10.5090 Å; angles 90.00, 90.00, 120.00 degrees
Last column: magnetic moment on the atom in μB.
Element x y z (fractional)
Na1 0.3333 0.6667 0.2500  0.00
Na2 0.6667 0.3333 0.7500  0.00
Zn1 0.0000 0.0000 0.2500  0.05
Zn2 0.0000 0.0000 0.7500  0.05
Ta1 0.0000 0.0000 0.0000  1.32
Ta2 0.0000 0.0000 0.5000  1.32

(6)
The following is a PBE-GGA calculation of a geometry-optimized Sm4TmCu5 structure, from Alexandria via LeMat-Bulk.

Results
- Energy: -4.59 eV/atom
- DOS at the Fermi energy: 0.518 states/eV/atom
- Magnetic moment: 0.0 μB/cell

Cell lengths 3.4995, 3.4995, 17.7342 Å; angles 90.00, 90.00, 90.00 degrees
Element x y z (fractional)
Sm1 0.0000 0.0000 0.1957
Sm2 0.0000 0.0000 0.3988
Sm3 0.0000 0.0000 0.6012
Sm4 0.0000 0.0000 0.8043
Tm1 0.0000 0.0000 0.0000
Cu1 0.5000 0.5000 0.0904
Cu2 0.5000 0.5000 0.2973
Cu3 0.5000 0.5000 0.5000
Cu4 0.5000 0.5000 0.7027
Cu5 0.5000 0.5000 0.9096

(7)
The following is a PBE-GGA calculation of a geometry-optimized Na3Sn4Se8 structure, from Alexandria via LeMat-Bulk.

Results
- Formation energy from raw total energies: -8.94 eV per formula unit
- Energy: -3.79 eV/atom
- DOS at the Fermi energy: 0.271 states/eV/atom
- Magnetic moment: 0.0 μB/cell

Cell lengths 8.0324, 8.2444, 8.2444 Å; angles 91.00, 118.64, 118.64 degrees
Element x y z (fractional)
Na1 0.5000 0.5000 0.0000
Na2 0.5000 0.0000 0.5000
Na3 0.5000 0.5000 0.5000
Sn1 0.5000 0.0000 0.0000
Sn2 0.0000 0.5000 0.0000
Sn3 0.0000 0.0000 0.0000
Sn4 0.0000 0.0000 0.5000
Se1 0.4631 0.2190 0.2190
Se2 0.0000 0.7649 0.2351
Se3 0.9887 0.2395 0.2395
Se4 0.5000 0.7608 0.2392
Se5 0.5000 0.2392 0.7608
Se6 0.0113 0.7605 0.7605
Se7 0.0000 0.2351 0.7649
Se8 0.5369 0.7810 0.7810

(8)
The following is a PBE-GGA calculation of a geometry-optimized NaScBeCr2 structure, from Alexandria via LeMat-Bulk.

Results
- Energy: -4.61 eV/atom
- DOS at the Fermi energy: 1.058 states/eV/atom
- Magnetic moment: 6.5 μB/cell

Cell lengths 4.8350, 4.8691, 4.8350 Å; angles 90.00, 90.00, 90.00 degrees
Last column: magnetic moment on the atom in μB.
Element x y z (fractional)
Sc1 0.0000 0.0000 0.0000  -0.25
Cr1 0.0000 0.0000 0.5000  3.02
Cr2 0.5000 0.0000 0.0000  3.55
Be1 0.0000 0.5000 0.0000  -0.15
Na1 0.5000 0.5000 0.5000  0.00

(9)
The following is a PBE-GGA calculation of a geometry-optimized Li2Cd3Ga2 structure, from Alexandria via LeMat-Bulk.

Results
- Polymorph energy (0 for the lowest one): 0.0 meV per atom
- Energy: -1.99 eV/atom
- DOS at the Fermi energy: 0.187 states/eV/atom
- Magnetic moment: 0.0 μB/cell

Cell lengths 4.3372, 3.0061, 10.5116 Å; angles 90.00, 101.91, 90.00 degrees
Element x y z (fractional)
Li1 0.1599 0.0000 0.3199
Li2 0.8401 0.0000 0.6801
Cd1 0.4196 0.5000 0.8392
Cd2 0.5804 0.5000 0.1608
Cd3 0.0000 0.0000 0.0000
Ga1 0.2835 0.5000 0.5669
Ga2 0.7165 0.5000 0.4331

(10)
The following is a PBE-GGA calculation of a geometry-optimized Zr3MnS structure, from Alexandria via LeMat-Bulk.

Results
- Formation energy from raw total energies: 1.51 eV per formula unit
- Polymorph energy (0 for the lowest one): 544.8 meV per atom
- Energy: -7.49 eV/atom
- DOS at the Fermi energy: 1.188 states/eV/atom
- Magnetic moment: 0.0 μB/cell

Cell lengths 4.7982, 4.7982, 4.7982 Å; angles 90.00, 90.00, 90.00 degrees
Element x y z (fractional)
S1 0.5000 0.5000 0.5000
Mn1 0.0000 0.0000 0.0000
Zr1 0.0000 0.5000 0.0000
Zr2 0.0000 0.0000 0.5000
Zr3 0.5000 0.0000 0.0000

(11)
The following is a PBE-GGA calculation of a geometry-optimized Li3AcRh4O12 structure, from Alexandria via LeMat-Bulk.

Results
- Formation energy from raw total energies: -25.52 eV per formula unit
- Energy: -6.21 eV/atom
- DOS at the Fermi energy: 0.841 states/eV/atom
- Magnetic moment: 5.1 μB/cell

Cell lengths 6.5730, 6.5730, 6.5730 Å; angles 109.47, 109.47, 109.47 degrees
Last column: magnetic moment on the atom in μB.
Element x y z (fractional)
Li1 0.0000 0.5000 0.5000  0.00
Li2 0.5000 0.5000 0.0000  0.00
Li3 0.5000 0.0000 0.5000  0.00
Ac1 0.0000 0.0000 0.0000  0.02
Rh1 0.5000 0.0000 0.0000  0.64
Rh2 0.5000 0.5000 0.5000  0.64
Rh3 0.0000 0.5000 0.0000  0.64
Rh4 0.0000 0.0000 0.5000  0.64
O1 0.3028 0.8200 0.1228  0.17
O2 0.6972 0.1800 0.8772  0.17
O3 0.6972 0.8200 0.5171  0.17
O4 0.8772 0.6972 0.1800  0.17
O5 0.8200 0.1228 0.3028  0.17
O6 0.1800 0.4829 0.3028  0.17
O7 0.4829 0.3028 0.1800  0.17
O8 0.1800 0.8772 0.6972  0.17
O9 0.3028 0.1800 0.4829  0.17
O10 0.1228 0.3028 0.8200  0.17
O11 0.8200 0.5171 0.6972  0.17
O12 0.5171 0.6972 0.8200  0.17

(12)
The following is a PBE-GGA calculation of a geometry-optimized P2BrN structure, from Alexandria via LeMat-Bulk.

Results
- Formation energy from raw total energies: 7.41 eV per formula unit
- Polymorph energy (0 for the lowest one): 1080.3 meV per atom
- Energy: -3.35 eV/atom
- DOS at the Fermi energy: 0.530 states/eV/atom
- Magnetic moment: 0.0 μB/cell

Cell lengths 4.3722, 4.3722, 4.3722 Å; angles 60.00, 60.00, 60.00 degrees
Element x y z (fractional)
P1 0.2500 0.2500 0.2500
P2 0.7500 0.7500 0.7500
Br1 0.5000 0.5000 0.5000
N1 0.0000 0.0000 0.0000

(13)
The following is a PBE-GGA calculation of a geometry-optimized Sr2Al9Pt3 structure, from Alexandria via LeMat-Bulk.

Results
- Energy: -4.70 eV/atom
- DOS at the Fermi energy: 0.105 states/eV/atom
- Magnetic moment: 0.0 μB/cell

Cell lengths 7.7330, 7.7330, 10.6963 Å; angles 89.96, 111.09, 120.22 degrees
Element x y z (fractional)
Sr1 0.3350 0.2485 0.7504
Sr2 0.6650 0.7515 0.2496
Sr3 0.9980 0.5845 0.7496
Sr4 0.0020 0.4155 0.2504
Al1 0.4655 0.9196 0.7483
Al2 0.5345 0.0804 0.2517
Al3 0.6714 0.7172 0.7517
Al4 0.3286 0.2828 0.2483
Al5 0.4533 0.6452 0.9267
Al6 0.5467 0.3548 0.0733
Al7 0.2185 0.5266 0.5733
Al8 0.7815 0.4734 0.4267
Al9 0.8719 0.1219 0.7500
Al10 0.1281 0.8781 0.2500
Al11 0.1296 0.9827 0.9455
Al12 0.8704 0.0173 0.0545
Al13 0.5372 0.1841 0.5545
Al14 0.4628 0.8159 0.4455
Al15 0.8775 0.8576 0.5714
Al16 0.1225 0.1424 0.4286
Al17 0.7862 0.3062 0.9286
Al18 0.2138 0.6938 0.0714
Pt1 0.5000 0.0000 0.0000
Pt2 0.5000 0.5000 0.5000
Pt3 0.8389 0.1699 0.4996
Pt4 0.1611 0.8301 0.5004
Pt5 0.1703 0.3393 0.0004
Pt6 0.8297 0.6607 0.9996

(14)
The following is a PBE-GGA calculation of a geometry-optimized DyErTl structure, from Alexandria via LeMat-Bulk.

Results
- Polymorph energy (0 for the lowest one): 24.9 meV per atom
- Energy: -4.07 eV/atom
- DOS at the Fermi energy: 1.086 states/eV/atom
- Magnetic moment: 0.0 μB/cell

Cell lengths 3.5558, 3.5558, 7.2853 Å; angles 104.13, 104.13, 90.00 degrees
Element x y z (fractional)
Tl1 0.6175 0.6175 0.2350
Er1 0.2747 0.2747 0.5495
Dy1 0.9578 0.9578 0.9155

(15)
The following is a PBE-GGA calculation of a geometry-optimized Pa4Ir7Rh6 structure, from Alexandria via LeMat-Bulk.

Results
- Energy: -9.11 eV/atom
- DOS at the Fermi energy: 1.041 states/eV/atom
- Magnetic moment: 0.0 μB/cell

Cell lengths 7.2626, 7.2626, 7.2626 Å; angles 109.47, 109.47, 109.47 degrees
Element x y z (fractional)
Pa1 0.5000 0.0000 0.0000
Pa2 0.5000 0.5000 0.5000
Pa3 0.0000 0.5000 0.0000
Pa4 0.0000 0.0000 0.5000
Ir1 0.7500 0.5000 0.2500
Ir2 0.2500 0.7500 0.5000
Ir3 0.5000 0.7500 0.2500
Ir4 0.7500 0.2500 0.5000
Ir5 0.2500 0.5000 0.7500
Ir6 0.5000 0.2500 0.7500
Ir7 0.0000 0.0000 0.0000
Rh1 0.7034 0.0000 0.7034
Rh2 0.7034 0.7034 0.0000
Rh3 0.0000 0.2966 0.2966
Rh4 0.2966 0.0000 0.2966
Rh5 0.2966 0.2966 0.0000
Rh6 0.0000 0.7034 0.7034

(16)
The following is a PBE-GGA calculation of a geometry-optimized TiBe2PBr structure, from Alexandria via LeMat-Bulk.

Results
- Formation energy from raw total energies: 5.67 eV per formula unit
- Energy: -3.35 eV/atom
- DOS at the Fermi energy: 0.701 states/eV/atom
- Magnetic moment: 0.0 μB/cell

Cell lengths 4.1871, 4.8327, 4.1871 Å; angles 90.00, 90.00, 90.00 degrees
Element x y z (fractional)
P1 0.5000 0.5000 0.5000
Be1 0.0000 0.0000 0.5000
Be2 0.5000 0.0000 0.0000
Br1 0.0000 0.0000 0.0000
Ti1 0.0000 0.5000 0.0000

(17)
The following is a PBE-GGA calculation of a geometry-optimized Tb2CeTm3 structure, from Alexandria via LeMat-Bulk.

Results
- Polymorph energy (0 for the lowest one): 437.1 meV per atom
- Energy: -4.18 eV/atom
- DOS at the Fermi energy: 2.027 states/eV/atom
- Magnetic moment: 2.6 μB/cell

Cell lengths 11.2317, 8.7696, 8.7697 Å; angles 41.86, 50.18, 50.18 degrees
Last column: magnetic moment on the atom in μB.
Element x y z (fractional)
Tb1 0.8493 0.3956 0.3956  0.09
Tb2 0.6406 0.1044 0.1044  0.09
Tb3 0.3594 0.8956 0.8956  0.09
Tb4 0.1507 0.6044 0.6044  0.09
Ce1 0.0000 0.5000 0.5000  0.70
Ce2 0.0000 0.0000 0.0000  0.70
Tm1 0.5000 0.2500 0.7500  0.00
Tm2 0.5000 0.7500 0.2500  0.00
Tm3 0.2370 0.0130 0.5130  0.09
Tm4 0.7630 0.4870 0.9870  0.09
Tm5 0.7630 0.9870 0.4870  0.09
Tm6 0.2370 0.5130 0.0130  0.09

(18)
The following is a PBE-GGA calculation of a geometry-optimized Mg2AlWAu structure, from Alexandria via LeMat-Bulk.

Results
- Energy: -3.70 eV/atom
- DOS at the Fermi energy: 0.456 states/eV/atom
- Magnetic moment: 3.4 μB/cell

Cell lengths 4.9189, 4.7621, 4.9189 Å; angles 90.00, 90.00, 90.00 degrees
Last column: magnetic moment on the atom in μB.
Element x y z (fractional)
Mg1 0.0000 0.0000 0.5000  -0.02
Mg2 0.5000 0.0000 0.0000  -0.01
Au1 0.0000 0.0000 0.0000  0.02
Al1 0.0000 0.5000 0.0000  -0.02
W1 0.5000 0.5000 0.5000  2.61

(19)
The following is a PBE-GGA calculation of a geometry-optimized KRb2NdCl6 structure, from Alexandria via LeMat-Bulk.

Results
- Formation energy from raw total energies: -21.30 eV per formula unit
- Energy: -4.02 eV/atom
- DOS at the Fermi energy: 0.000 states/eV/atom
- Magnetic moment: 0.0 μB/cell

Cell lengths 7.8025, 8.1883, 11.1291 Å; angles 90.00, 89.06, 90.00 degrees
Element x y z (fractional)
K1 0.5000 0.0000 0.0000
K2 0.0000 0.5000 0.5000
Rb1 0.0243 0.9334 0.2549
Rb2 0.5243 0.5666 0.7549
Rb3 0.9757 0.0666 0.7451
Rb4 0.4757 0.4334 0.2451
Nd1 0.5000 0.0000 0.5000
Nd2 0.0000 0.5000 0.0000
Cl1 0.2823 0.6865 0.0526
Cl2 0.7823 0.8135 0.5526
Cl3 0.7177 0.3135 0.9474
Cl4 0.2177 0.1865 0.4474
Cl5 0.3210 0.7240 0.4336
Cl6 0.8210 0.7760 0.9336
Cl7 0.6790 0.2760 0.5664
Cl8 0.1790 0.2240 0.0664
Cl9 0.8850 0.5452 0.2327
Cl10 0.3850 0.9548 0.7327
Cl11 0.1150 0.4548 0.7673
Cl12 0.6150 0.0452 0.2673

(20)
The following is a PBE-GGA calculation of a geometry-optimized MnH2Pd structure, from Alexandria via LeMat-Bulk.

Results
- Polymorph energy (0 for the lowest one): 5.3 meV per atom
- Energy: -5.31 eV/atom
- DOS at the Fermi energy: 0.357 states/eV/atom
- Magnetic moment: 14.3 μB/cell

Cell lengths 5.7349, 5.1239, 5.5275 Å; angles 90.00, 62.97, 90.00 degrees
Last column: magnetic moment on the atom in μB.
Element x y z (fractional)
Mn1 0.8628 0.8413 0.8894  3.38
Mn2 0.8628 0.6587 0.3894  3.38
Mn3 0.1372 0.1587 0.1106  3.38
Mn4 0.1372 0.3413 0.6106  3.38
H1 0.6576 0.6786 0.2153  -0.02
H2 0.0501 0.8311 0.0771  -0.03
H3 0.3424 0.1786 0.2847  -0.02
H4 0.3424 0.3214 0.7847  -0.02
H5 0.9499 0.1689 0.9229  -0.03
H6 0.9499 0.3311 0.4229  -0.03
H7 0.0501 0.6689 0.5771  -0.03
H8 0.6576 0.8214 0.7153  -0.02
Pd1 0.6455 0.3488 0.1096  0.15
Pd2 0.3545 0.8488 0.3904  0.15
Pd3 0.3545 0.6512 0.8904  0.15
Pd4 0.6455 0.1512 0.6096  0.15

(21)
The following is a PBE-GGA calculation of a geometry-optimized PuTaSe3 structure, from Alexandria via LeMat-Bulk.

Results
- Formation energy from raw total energies: -5.38 eV per formula unit
- Energy: -8.40 eV/atom
- DOS at the Fermi energy: 2.233 states/eV/atom
- Magnetic moment: 10.1 μB/cell

Cell lengths 3.6806, 7.5053, 8.4843 Å; angles 91.58, 90.00, 104.19 degrees
Last column: magnetic moment on the atom in μB.
Element x y z (fractional)
Pu1 0.4197 0.8725 0.3064  5.14
Pu2 0.6242 0.2816 0.1151  5.14
Ta1 0.2280 0.4891 0.5909  -0.04
Ta2 0.8160 0.6649 0.8307  -0.04
Se1 0.0745 0.1820 0.3871  -0.12
Se2 0.4025 0.8381 0.6726  -0.02
Se3 0.6414 0.3160 0.7490  -0.02
Se4 0.9695 0.9721 0.0344  -0.12
Se5 0.2727 0.5784 0.0452  -0.08
Se6 0.7713 0.5757 0.3764  -0.08